Record 1
The following is a DFT calculation (PBE) of a relaxed structure of Mn2FeCoTc.

```
data_Mn2FeCoTc
_chemical_formula_sum 'Mn2 Fe1 Co1 Tc1'
_cell_length_a 4.077
_cell_length_b 4.077
_cell_length_c 4.107
_cell_angle_alpha 90.00
_cell_angle_beta 90.00
_cell_angle_gamma 90.00
_symmetry_space_group_name_H-M 'P 4/m m m'
_symmetry_Int_Tables_number 123
_symmetry_space_group_name_Hall '-P 4 2'
loop_
_atom_site_label
_atom_site_type_symbol
_atom_site_fract_x
_atom_site_fract_y
_atom_site_fract_z
Mn1 Mn 0.000 0.500 0.000
Fe1 Fe 0.000 0.000 0.500
Co1 Co 0.000 0.000 0.000
Tc1 Tc 0.500 0.500 0.500
```

Results
calculated volume	68.25	Å³/cell

Record 2
The following is a DFT calculation (PBE) of a relaxed structure of TbCePrTh.

```
data_TbCePrTh
_chemical_formula_sum 'Tb3 Ce3 Pr3 Th3'
_cell_length_a 3.5728
_cell_length_b 3.5728
_cell_length_c 34.8178
_cell_angle_alpha 90.00
_cell_angle_beta 90.00
_cell_angle_gamma 120.00
_symmetry_space_group_name_H-M 'R 3 m'
_symmetry_Int_Tables_number 160
_symmetry_space_group_name_Hall 'R 3 -2"'
loop_
_atom_site_label
_atom_site_type_symbol
_atom_site_fract_x
_atom_site_fract_y
_atom_site_fract_z
Tb1 Tb 0.0000 0.0000 0.0000
Ce1 Ce 0.0000 0.0000 0.4144
Pr1 Pr 0.0000 0.0000 0.2451
Th1 Th 0.0000 0.0000 0.8271
```

Results
calculated volume	384.91	Å³/cell
energy relative to the lowest polymorph listed for this composition	0.0000	eV/atom

Values of energy relative to the elements, in order: 1.458, 0.045, all in eV per atom.
Values of final energy, in order: -7.397, -5.646, all in eV/atom.